Record 1
DFT (PBE) results for a relaxed PmMnCuTe3 crystal.

Unit cell a=8.432 b=4.173 c=9.313 alpha=90.00 beta=101.60 gamma=90.00
Space group P2_1/m (No. 11)
Asymmetric unit:
Pm (0.177, 0.250, 0.253) [2 per cell]
Mn (0.340, 0.750, 0.841) [2 per cell]
Cu (0.067, 0.250, 0.573) [2 per cell]
Te (0.104, 0.250, 0.866) [2 per cell]
Te (0.253, 0.750, 0.524) [2 per cell]
Te (0.420, 0.750, 0.152) [2 per cell]

## Properties
E: -62.62 eV for the cell shown
Formation energy (no corrections): -0.645 eV/atom

Record 2
DFT (PBE) results for a relaxed SrCd3Fe crystal.

Unit cell a=5.102 b=5.102 c=5.102 alpha=90.00 beta=90.00 gamma=90.00
Space group Pm-3m (No. 221)
Asymmetric unit:
Sr (0.000, 0.000, 0.000) [1 per cell]
Cd (0.000, 0.500, 0.500) [3 per cell]
Fe (0.500, 0.500, 0.500) [1 per cell]

## Properties
Formation energy: 0.11 eV/atom
E: -12.35 eV for the cell shown
ΔE to the lowest computed polymorph: 0 meV per atom